A plane-wave DFT calculation with PBE was carried out for crystalline LaMgZnCo at its relaxed geometry.

Geometry as POSCAR:
```
LaMgZnCo
1.0
4.8656 0.0000 0.0000
2.4328 4.2138 0.0000
2.4328 1.4046 3.9728
Zn La Co Mg
1 1 1 1
Cartesian
2.4328 1.4046 0.9932
4.8656 2.8092 1.9864
7.2984 4.2138 2.9796
0.0000 0.0000 0.0000
```

Output
spin magnetization = 0.8 μB per cell
calculated formation energy = -0.054 eV per formula unit
crystal system = cubic